! TmSnO PBE optimized geometry; values from VASP
! Total magnetization, μB per atom: 0.000
! Energy relative to the elements, uncorrected, meV per atom: -1234
! Symmetry: No. 71
! Density of states at the Fermi level, states/eV per cell: 3.83
&SYSTEM
  ibrav = 0, nat = 6, ntyp = 3
/
ATOMIC_SPECIES
Tm 168.93 Tm.upf
Sn 118.71 Sn.upf
O 16.00 O.upf
CELL_PARAMETERS angstrom
-1.765 2.712 7.342
1.765 -2.712 7.342
1.765 2.712 -7.342
ATOMIC_POSITIONS crystal
Tm 0.106 0.106 0.000
Tm 0.894 0.894 0.000
Sn 0.351 0.351 0.000
Sn 0.649 0.649 0.000
O 0.245 0.000 0.245
O 0.755 0.000 0.755